A plane-wave DFT calculation with GGA-PBE was carried out for a relaxed YLuCdIn crystal.

Output
Final energy = -4.057 eV per atom
Magnetic moment = 0.00 μB/f.u.
ΔH_f (0 K) = -0.40 eV per atom

Lattice parameters (Å, degrees): 5.257 5.257 5.257 60.00 60.00 60.00
Fractional positions:
In1 0.500 0.500 0.500
Lu1 0.250 0.250 0.250
Y1 0.750 0.750 0.750
Cd1 0.000 0.000 0.000